[1]
Entry from Alexandria via LeMat-Bulk: crystalline NaZnIn2C at its relaxed geometry (PBEsol).

It has space group P4/mmm (No. 123), with a = 4.611 Å, b = 4.611 Å, c = 4.800 Å, α = 90.00°, β = 90.00° and γ = 90.00°. The distinct sites, in fractional coordinates, are Na at (0.000, 0.000, 0.000), Zn at (0.500, 0.500, 0.000), In at (0.000, 0.500, 0.500) and C at (0.000, 0.000, 0.500).

The formation energy comes out at 16.33 kcal/mol of atoms. As for the density of states at the Fermi level: 1.94 states/eV per cell.


[2]
Entry from Alexandria via LeMat-Bulk: crystalline Ba3CdH at its relaxed geometry (PBEsol).

It has space group Pm-3m (No. 221), with a = 5.541 Å, b = 5.541 Å, c = 5.541 Å, α = 90.00°, β = 90.00° and γ = 90.00°. The distinct sites, in fractional coordinates, are Ba at (0.000, 0.000, 0.500), Cd at (0.500, 0.500, 0.500) and H at (0.000, 0.000, 0.000).

The total energy is -11.92 eV/cell. As for the density of states at the Fermi level: 5.65 states/eV per cell.


[3]
Entry from Alexandria via LeMat-Bulk: crystalline Ba2SrLa at its relaxed geometry (PBEsol).

It has space group Pmmm (No. 47), with a = 4.512 Å, b = 6.517 Å, c = 6.550 Å, α = 90.00°, β = 90.00° and γ = 90.00°. The distinct sites, in fractional coordinates, are Ba at (0.000, 0.000, 0.000), Ba at (0.500, 0.000, 0.500), Sr at (0.000, 0.500, 0.500) and La at (0.500, 0.500, 0.000).

The formation energy comes out at 3.80 kcal/mol of atoms. As for the density of states at the Fermi level: 4.26 states/eV per cell.